Entry a
ScRh2Br | GGA-PBEsol | relaxed

Computed properties:
The calculation puts the density of states at the Fermi level at 3.1 states/eV per cell. The space group is Pmm2, No. 25.

Cell: 3.292 3.397 6.808 Å, 90.00 90.00 90.00°
Fractional coordinates of all 4 atoms:
Sc: 0.000 0.000 0.000
Rh: 0.000 0.000 0.638
Rh: 0.500 0.500 0.767
Br: 0.500 0.500 0.242

Entry b
ScRh2Br | GGA-PBEsol | relaxed

Computed properties:
The calculation puts the density of states at the Fermi level at 6.4 states/eV per cell. The space group is Immm, No. 71.

Cell: 3.091 4.564 8.962 Å, 90.00 90.00 90.00°
Fractional coordinates of all 8 atoms:
Sc: 0.000 0.000 0.000
Sc: 0.500 0.500 0.500
Rh: 0.000 0.500 0.240
Rh: 0.000 0.500 0.760
Rh: 0.500 0.000 0.260
Rh: 0.500 0.000 0.740
Br: 0.000 0.000 0.500
Br: 0.500 0.500 0.000

Entry c
ScRh2Br | GGA-PBEsol | relaxed

Computed properties:
The calculation puts the density of states at the Fermi level at 3.0 states/eV per cell. The space group is Imm2, No. 44.

Cell: 3.270 4.295 9.070 Å, 90.00 90.00 90.00°
Fractional coordinates of all 8 atoms:
Sc: 0.000 0.000 0.000
Sc: 0.500 0.500 0.500
Rh: 0.000 0.000 0.521
Rh: 0.000 0.500 0.765
Rh: 0.500 0.000 0.265
Rh: 0.500 0.500 0.021
Br: 0.000 0.500 0.248
Br: 0.500 0.000 0.748

According to the calculations, the structures order from most to least stable as entry a, entry b, entry c.

Entry a
Rh2SeBr | GGA-PBEsol | relaxed

Computed properties:
The calculation puts the density of states at the Fermi level at 8.7 states/eV per cell. The space group is R-3m, No. 166.

Cell: 3.873 3.873 16.614 Å, 90.00 90.00 120.00°
Fractional coordinates of all 12 atoms:
Rh: 0.000 0.000 0.222
Rh: 0.000 0.000 0.778
Rh: 0.333 0.667 0.445
Rh: 0.333 0.667 0.889
Rh: 0.667 0.333 0.111
Rh: 0.667 0.333 0.555
Se: 0.000 0.000 0.500
Se: 0.333 0.667 0.167
Se: 0.667 0.333 0.833
Br: 0.000 0.000 0.000
Br: 0.333 0.667 0.667
Br: 0.667 0.333 0.333

Entry b
Rh2SeBr | GGA-PBEsol | relaxed

Computed properties:
The calculation puts the density of states at the Fermi level at 4.7 states/eV per cell. The space group is P4/mmm, No. 123.

Cell: 4.459 4.459 3.139 Å, 90.00 90.00 90.00°
Fractional coordinates of all 4 atoms:
Rh: 0.000 0.500 0.000
Rh: 0.500 0.000 0.000
Se: 0.000 0.000 0.500
Br: 0.500 0.500 0.500

Entry c
Rh2SeBr | GGA-PBEsol | relaxed

Computed properties:
The calculation puts the density of states at the Fermi level at 8.1 states/eV per cell. The space group is Imm2, No. 44.

Cell: 3.058 4.003 10.974 Å, 90.00 90.00 90.00°
Fractional coordinates of all 8 atoms:
Rh: 0.000 0.000 0.000
Rh: 0.000 0.500 0.275
Rh: 0.500 0.000 0.775
Rh: 0.500 0.500 0.500
Se: 0.000 0.500 0.686
Se: 0.500 0.000 0.186
Br: 0.000 0.000 0.448
Br: 0.500 0.500 0.948

According to the calculations, the structures order from most to least stable as entry a, entry c, entry b.

Entry a
SrRhBr | GGA-PBEsol | relaxed

Computed properties:
The calculation puts the density of states at the Fermi level at 4.2 states/eV per cell. The space group is F-43m, No. 216.

Cell: 6.540 6.540 6.540 Å, 90.00 90.00 90.00°
Fractional coordinates of all 12 atoms:
Sr: 0.000 0.000 0.000
Sr: 0.000 0.500 0.500
Sr: 0.500 0.000 0.500
Sr: 0.500 0.500 0.000
Rh: 0.250 0.250 0.750
Rh: 0.250 0.750 0.250
Rh: 0.750 0.250 0.250
Rh: 0.750 0.750 0.750
Br: 0.000 0.000 0.500
Br: 0.000 0.500 0.000
Br: 0.500 0.000 0.000
Br: 0.500 0.500 0.500

Entry b
SrRhBr | GGA-PBEsol | relaxed

Computed properties:
The calculation puts the density of states at the Fermi level at 0.5 states/eV per cell. The space group is Amm2, No. 38.

Cell: 3.988 4.478 7.456 Å, 90.00 90.00 90.00°
Fractional coordinates of all 6 atoms:
Sr: 0.000 0.000 0.000
Sr: 0.000 0.500 0.500
Rh: 0.500 0.000 0.318
Rh: 0.500 0.500 0.818
Br: 0.500 0.000 0.672
Br: 0.500 0.500 0.172

According to the calculations, the structures order from most to least stable as entry b, entry a.

Entry a
RhW2Br | GGA-PBEsol | relaxed

Computed properties:
The calculation puts the density of states at the Fermi level at 3.1 states/eV per cell. The space group is P2/m, No. 10.

Cell: 4.481 2.959 4.845 Å, 90.00 99.58 90.00°
Fractional coordinates of all 4 atoms:
Rh: 0.000 0.000 0.000
W: 0.000 0.500 0.500
W: 0.500 0.000 0.500
Br: 0.500 0.500 0.000

Entry b
RhW2Br | GGA-PBEsol | relaxed

Computed properties:
The calculation puts the density of states at the Fermi level at 10.8 states/eV per cell. The space group is R-3m, No. 166.

Cell: 2.882 2.882 26.004 Å, 90.00 90.00 120.00°
Fractional coordinates of all 12 atoms:
Rh: 0.000 0.000 0.000
Rh: 0.333 0.667 0.667
Rh: 0.667 0.333 0.333
W: 0.000 0.000 0.251
W: 0.000 0.000 0.749
W: 0.333 0.667 0.415
W: 0.333 0.667 0.918
W: 0.667 0.333 0.082
W: 0.667 0.333 0.585
Br: 0.000 0.000 0.500
Br: 0.333 0.667 0.167
Br: 0.667 0.333 0.833

According to the calculations, the structures order from most to least stable as entry b, entry a.